This record from Alexandria describes crystalline TePBr2 at its relaxed geometry. The functional is PBE-GGA.

POSCAR file:
```
TePBr2
1.0
3.689 0.000 0.000
0.000 9.330 0.000
0.000 0.000 8.815
Te P Br
2 2 4
Direct
0.000 0.000 0.000 Te
0.500 0.500 0.000 Te
0.000 0.500 0.195 P
0.500 0.000 0.195 P
0.000 0.000 0.420 Br
0.000 0.500 0.733 Br
0.500 0.000 0.733 Br
0.500 0.500 0.420 Br
```

Results
M_tot = 0.000 μB/atom
SG = Cmm2
raw formation energy = 102 kJ/mol of formula units